Here is crystalline Sr2Zn2Cl at its relaxed geometry from the Alexandria database. Energies are from PBE-GGA.

abc: 4.430 4.430 25.211
angles: 90.00 90.00 120.00
Positions (direct):
Sr1 0.000 0.000 0.083
Sr2 0.000 0.000 0.917
Sr3 0.333 0.667 0.583
Sr4 0.333 0.667 0.750
Sr5 0.667 0.333 0.250
Sr6 0.667 0.333 0.417
Zn1 0.000 0.000 0.332
Zn2 0.000 0.000 0.668
Zn3 0.333 0.667 0.335
Zn4 0.333 0.667 0.999
Zn5 0.667 0.333 0.001
Zn6 0.667 0.333 0.665
Cl1 0.000 0.000 0.500
Cl2 0.333 0.667 0.167
Cl3 0.667 0.333 0.833

## Properties
M_tot in μB/atom: 0.000
ΔE_f (raw) in meV per atom: -882
Space group: R-3m
Crystal system: trigonal
Relative energy among the computed polymorphs in meV/atom: 0